No. 1
4
Lattice="2.407 1.390 6.476 -2.407 1.390 6.476 0.000 -2.779 6.476" Properties=species:S:1:pos:R:3 comment="BaTlInAu, relaxed, DFT PBE" total_energy_ev_per_atom=-2.968 formation_enthalpy_0k_ev_per_fu=-1.566 pbc="T T T"
Ba 0.000 0.000 0.000
Tl 0.000 0.000 15.308
In 0.000 0.000 3.944
Au 0.000 0.000 10.814

***

No. 2
10
Lattice="0.000 5.353 5.353 5.353 0.000 5.353 5.353 5.353 0.000" Properties=species:S:1:pos:R:3 comment="Ba2TlInAu6, relaxed, DFT PBE" total_energy_ev_per_atom=-3.133 formation_enthalpy_0k_ev_per_fu=-2.712 pbc="T T T"
Ba 2.677 2.677 2.677
Ba 8.030 8.030 8.030
Tl 0.000 0.000 0.000
In 5.353 5.353 5.353
Au 5.353 5.353 2.706
Au 5.353 2.706 5.353
Au 8.000 5.353 5.353
Au 2.706 5.353 5.353
Au 5.353 8.000 5.353
Au 5.353 5.353 8.000

***

No. 3
11
Lattice="5.052 0.000 0.000 -2.526 4.375 0.000 0.000 0.000 15.549" Properties=species:S:1:pos:R:3 comment="Ba3Tl2In2Au4, relaxed, DFT PBE" total_energy_ev_per_atom=-3.125 formation_enthalpy_0k_ev_per_fu=-5.291 pbc="T T T"
Ba 0.000 0.000 0.000
Ba 0.000 0.000 4.348
Ba 0.000 0.000 11.201
Tl 0.000 2.917 8.823
Tl 2.526 1.458 6.725
In 0.000 2.917 2.269
In 2.526 1.458 13.279
Au 0.000 2.917 5.923
Au 0.000 2.917 13.395
Au 2.526 1.458 2.154
Au 2.526 1.458 9.625

***

No. 4
10
Lattice="0.000 5.437 5.437 5.437 0.000 5.437 5.437 5.437 0.000" Properties=species:S:1:pos:R:3 comment="Ba2TmInAu6, relaxed, DFT PBE" total_energy_ev_per_atom=-3.454 formation_enthalpy_0k_ev_per_fu=-3.816 pbc="T T T"
Ba 2.719 2.719 2.719
Ba 8.156 8.156 8.156
Tm 0.000 0.000 0.000
In 5.437 5.437 5.437
Au 5.437 5.437 2.739
Au 5.437 2.739 5.437
Au 8.136 5.437 5.437
Au 2.739 5.437 5.437
Au 5.437 8.136 5.437
Au 5.437 5.437 8.136

***

No. 5
10
Lattice="6.607 0.000 0.000 3.257 6.398 0.000 3.259 -0.378 6.923" Properties=species:S:1:pos:R:3 comment="Ba2YInAu6, relaxed, DFT PBE" total_energy_ev_per_atom=-3.779 formation_enthalpy_0k_ev_per_fu=-5.078 pbc="T T T"
Ba 1.691 1.104 1.544
Ba 11.431 4.915 5.380
Y 4.932 3.199 0.000
In 4.933 -0.189 3.462
Au 3.294 1.572 4.940
Au 5.233 2.508 2.790
Au 6.198 1.439 5.406
Au 6.924 4.580 1.517
Au 7.889 3.511 4.133
Au 9.828 4.447 1.983

***

No. 6
9
Lattice="5.123 0.000 0.000 0.000 5.123 0.000 0.000 0.000 7.873" Properties=species:S:1:pos:R:3 comment="BaZn2InAu5, relaxed, DFT PBE" total_energy_ev_per_atom=-2.873 formation_enthalpy_0k_ev_per_fu=-2.264 pbc="T T T"
Ba 0.000 0.000 0.000
Zn 2.561 2.561 2.578
Zn 2.561 2.561 5.295
In 0.000 0.000 3.936
Au 0.000 2.561 2.410
Au 0.000 2.561 5.463
Au 2.561 0.000 2.410
Au 2.561 0.000 5.463
Au 2.561 2.561 0.000

***

No. 7
12
Lattice="3.292 -6.455 0.000 3.292 6.455 0.000 0.000 0.000 7.282" Properties=species:S:1:pos:R:3 comment="BaZnInAu3, relaxed, DFT PBE" total_energy_ev_per_atom=-3.011 formation_enthalpy_0k_ev_per_fu=-2.298 pbc="T T T"
Ba 3.292 3.753 5.461
Ba 3.292 -3.753 1.820
Zn 3.292 0.370 5.461
Zn 3.292 -0.370 1.820
In 3.292 4.946 1.820
In 3.292 -4.946 5.461
Au 1.512 0.000 0.000
Au 1.512 0.000 3.641
Au 3.292 2.231 1.820
Au 3.292 -2.231 5.461
Au 5.071 0.000 0.000
Au 5.071 0.000 3.641

***

No. 8
9
Lattice="-3.637 3.637 4.531 3.637 -3.637 4.531 3.637 3.637 -4.531" Properties=species:S:1:pos:R:3 comment="Ba2ZnIn2Au4, relaxed, DFT PBE" total_energy_ev_per_atom=-3.100 formation_enthalpy_0k_ev_per_fu=-4.194 pbc="T T T"
Ba 3.637 0.000 2.266
Ba 0.000 3.637 2.266
Zn 0.000 0.000 0.000
In 0.000 0.000 2.938
In 0.000 0.000 6.125
Au 1.867 1.867 0.000
Au 1.770 -1.770 4.531
Au -1.770 1.770 4.531
Au 1.770 1.770 4.531

***

No. 9
11
Lattice="4.772 0.000 0.000 -2.386 4.133 0.000 0.000 0.000 16.387" Properties=species:S:1:pos:R:3 comment="Ba3Zn2In2Au4, relaxed, DFT PBE" total_energy_ev_per_atom=-2.950 formation_enthalpy_0k_ev_per_fu=-5.544 pbc="T T T"
Ba 0.000 0.000 0.000
Ba 0.000 0.000 4.438
Ba 0.000 0.000 11.949
Zn 0.000 2.755 2.217
Zn 2.386 1.378 14.170
In 0.000 2.755 9.290
In 2.386 1.378 7.097
Au 0.000 2.755 6.457
Au 0.000 2.755 14.223
Au 2.386 1.378 2.164
Au 2.386 1.378 9.930

***

No. 10
10
Lattice="4.887 0.000 0.000 0.000 4.887 0.000 0.000 0.000 11.164" Properties=species:S:1:pos:R:3 comment="Ba2Zn3In4Au, relaxed, DFT PBE" total_energy_ev_per_atom=-2.536 formation_enthalpy_0k_ev_per_fu=-3.466 pbc="T T T"
Ba 0.000 2.443 2.700
Ba 2.443 0.000 8.465
Zn 0.000 0.000 0.000
Zn 0.000 2.443 7.061
Zn 2.443 0.000 4.103
In 0.000 0.000 5.582
In 0.000 2.443 9.793
In 2.443 0.000 1.371
In 2.443 2.443 5.582
Au 2.443 2.443 0.000

***

No. 11
12
Lattice="6.826 0.000 0.000 -3.413 5.911 0.000 0.000 0.000 8.644" Properties=species:S:1:pos:R:3 comment="Ba3Zn2InAu6, relaxed, DFT PBE" total_energy_ev_per_atom=-3.007 formation_enthalpy_0k_ev_per_fu=-5.368 pbc="T T T"
Ba 0.000 0.000 0.000
Ba 0.000 3.941 5.652
Ba 3.413 1.970 2.992
Zn 0.000 3.941 0.507
Zn 3.413 1.970 8.137
In 0.000 0.000 4.322
Au 0.000 2.237 2.564
Au -1.476 4.793 2.564
Au 1.937 1.118 6.080
Au 1.476 4.793 2.564
Au 4.889 1.118 6.080
Au 3.413 3.675 6.080

***

No. 12
10
Lattice="4.850 0.000 0.000 0.000 4.850 0.000 0.000 0.000 11.455" Properties=species:S:1:pos:R:3 comment="Ba2ZnIn4Au3, relaxed, DFT PBE" total_energy_ev_per_atom=-3.080 formation_enthalpy_0k_ev_per_fu=-4.892 pbc="T T T"
Ba 0.000 2.425 2.803
Ba 2.425 0.000 8.652
Zn 2.425 2.425 0.000
In 0.000 0.000 5.727
In 0.000 2.425 10.040
In 2.425 0.000 1.415
In 2.425 2.425 5.727
Au 0.000 0.000 0.000
Au 0.000 2.425 7.249
Au 2.425 0.000 4.205